The following is a DFT calculation (PBE with a Hubbard U) of BaTiMnNbO6 after structural relaxation.

The structure belongs to space group F-43m (No. 216); the cell edges are 8.051, 8.051 and 8.051 Å and the angles 90.00°, 90.00° and 90.00°. Symmetry generates all atoms from Ba at (0.000, 0.000, 0.000), Ti at (0.250, 0.250, 0.250), Mn at (0.000, 0.000, 0.500), Nb at (0.250, 0.250, 0.750) and O at (0.002, 0.250, 0.250).

For the total energy, the calculation gives -326.7 eV per cell.